First-principles (PBE) data for a relaxed KYSi2 crystal, as listed in Alexandria via LeMat-Bulk.

Cell: 9.9171 9.9171 9.9171 Å, 20.68 20.68 20.68°
Last column: nearest neighbours and their distance in Å.
Sites, in units of the cell vectors:
Y (0.2500, 0.2500, 0.2500)  6 Si 2.99
Si (0.5088, 0.5088, 0.5088)  3 Y 2.99
Si (0.9912, 0.9912, 0.9912)  3 Y 2.99
K (0.7500, 0.7500, 0.7500)  6 Si 3.38, 6 K 3.56

energy relative to the lowest polymorph listed for this composition = 44.8 kJ per mole of atoms
volume = 26.6 Å³/atom
N(E_F) = 3.219 states/eV/f.u.
E_form (uncorrected) = 0.214 eV per atom
total energy = -17.552 eV per cell